VASP calculation (PBE) on crystalline PaCd2SbO8 at its relaxed geometry.

abc: 5.0417 5.0306 6.8881
angles: 90.00 90.00 91.49
Closest atoms and distances in Å follow each position.
Fractional coordinates of all 12 atoms:
Pa 0.0000 0.0000 0.5000  2 O 2.03
Cd 0.5000 0.5000 0.7580  6 O 2.27-2.31
Cd 0.5000 0.5000 0.2420  6 O 2.27-2.31
Sb 0.0000 0.0000 0.0000  6 O 1.97-2.04
O 0.1802 0.8186 0.2269  1 Sb 2.04
O 0.7195 0.7203 0.0000  1 Sb 1.97
O 0.8198 0.1814 0.2269  1 Sb 2.04
O 0.8198 0.1814 0.7731  1 Sb 2.04
O 0.2805 0.2797 0.0000  1 Sb 1.97
O 0.1802 0.8186 0.7731  1 Sb 2.04
O 0.7103 0.7107 0.5000  1 Pa 2.03
O 0.2897 0.2893 0.5000  1 Pa 2.03

Raw total energy ... -6.2095 eV/atom
Uncorrected formation energy ... -1616.6 meV/atom
Spin magnetization ... 1.940 μB/f.u.
Space group ... P2/m, No. 10